Material: VTe2MoF
Method: DFT, PBE+U
State: optimized geometry

Results
* mass density: 5.1 g/cm³
* VASP energy: -3.67 eV per atom
* magnetic moment: 0.736 Bohr magnetons per cell

abc: 5.1639 5.1639 5.0936
angles: 90.00 90.00 90.00
Space group P4/mmm (No. 123)
Inequivalent atoms, fractional coordinates:
V1 0.0000 0.0000 0.0000 (multiplicity 1)
Te1 0.0000 0.5000 0.5000 (multiplicity 2)
Mo1 0.0000 0.0000 0.5000 (multiplicity 1)
F1 0.5000 0.5000 0.0000 (multiplicity 1)